# CdIn2GeIr | Alexandria via LeMat-Bulk | PBE | relaxed
# spin magnetization = 0.00 μB/f.u.
# E_tot = -19.76 eV for the cell shown
# energy of formation from the pure elements = 0.1 eV per formula unit
data_CdIn2GeIr
_space_group_name_H-M_alt 'P 4/m m m'
_space_group_IT_number 123
_space_group_name_Hall '-P 4 2'
_cell_length_a 5.275
_cell_length_b 5.275
_cell_length_c 4.696
_cell_angle_alpha 90.00
_cell_angle_beta 90.00
_cell_angle_gamma 90.00
loop_
_atom_site_label
_atom_site_type_symbol
_atom_site_fract_x
_atom_site_fract_y
_atom_site_fract_z
_atom_site_occupancy
Cd1 Cd 0.000 0.000 0.000 1
In1 In 0.000 0.500 0.500 1
Ge1 Ge 0.500 0.500 0.000 1
Ir1 Ir 0.500 0.500 0.500 1